Entry 1:
BIr2F | Alexandria | PBE | optimized geometry; electronic total energy = -6.215 eV/atom; density of states at the Fermi level = 1.2964 states/eV per atom; formation energy without anion corrections = 0.35 eV per atom; M_tot = 0.0 μB/cell
1.0
0.000 2.803 2.803
2.803 0.000 2.803
2.803 2.803 0.000
B Ir F
1 2 1
Direct
0.000 0.000 0.000
0.250 0.250 0.250
0.750 0.750 0.750
0.500 0.500 0.500

Entry 2:
BIrF2 | Alexandria | PBE | optimized geometry; electronic total energy = -4.710 eV/atom; density of states at the Fermi level = 0.5775 states/eV per atom; formation energy without anion corrections = 0.11 eV per atom; M_tot = 0.0 μB/cell
1.0
1.314 0.759 7.806
-1.314 0.759 7.806
0.000 -1.517 7.806
B Ir F
1 1 2
Direct
0.000 0.000 0.000
0.500 0.500 0.500
0.416 0.416 0.416
0.584 0.584 0.584

Entry 3:
BIrF2 | Alexandria | PBE | optimized geometry; electronic total energy = -3.960 eV/atom; density of states at the Fermi level = 0.4967 states/eV per atom; formation energy without anion corrections = 0.86 eV per atom; M_tot = 2.0 μB/cell
1.0
0.000 2.836 2.836
2.836 0.000 2.836
2.836 2.836 0.000
B Ir F
1 1 2
Direct
0.000 0.000 0.000
0.500 0.500 0.500
0.250 0.250 0.250
0.750 0.750 0.750

Entry 4:
BIrF2 | Alexandria | PBE | optimized geometry; electronic total energy = -5.352 eV/atom; density of states at the Fermi level = 0.6827 states/eV per atom; formation energy without anion corrections = -0.53 eV per atom; M_tot = 1.5 μB/cell
1.0
1.307 0.755 10.145
-1.307 0.755 10.145
0.000 -1.509 10.145
B Ir F
1 1 2
Direct
0.000 0.000 0.000
0.500 0.500 0.500
0.044 0.044 0.044
0.956 0.956 0.956

Entry 5:
BIr2F | Alexandria | PBE | optimized geometry; electronic total energy = -6.262 eV/atom; density of states at the Fermi level = 0.5817 states/eV per atom; formation energy without anion corrections = 0.31 eV per atom; M_tot = 0.0 μB/cell
1.0
-2.218 2.218 5.849
2.218 -2.218 5.849
2.218 2.218 -5.849
B Ir F
2 4 2
Direct
0.000 0.000 0.000
0.750 0.250 0.500
0.058 0.625 0.933
0.375 0.308 0.433
0.692 0.125 0.067
0.875 0.942 0.567
0.250 0.750 0.500
0.500 0.500 0.000

Entry 6:
BIrF2 | Alexandria | PBE | optimized geometry; electronic total energy = -4.352 eV/atom; density of states at the Fermi level = 0.7992 states/eV per atom; formation energy without anion corrections = 0.47 eV per atom; M_tot = 2.0 μB/cell
1.0
0.000 3.595 3.595
3.595 0.000 3.595
3.595 3.595 0.000
B Ir F
2 2 4
Direct
0.125 0.125 0.125
0.875 0.875 0.875
0.375 0.375 0.375
0.625 0.625 0.625
0.000 0.000 0.000
0.000 0.000 0.500
0.000 0.500 0.000
0.500 0.000 0.000